Computed, not measured: crystalline CsBeMoPd2 at its relaxed geometry at the GGA-PBE level of DFT.

a b c (Å): 4.480 5.408 4.480
angles (deg): 90.00 90.00 90.00
Positions (direct):
Cs 0.000 0.500 0.000
Pd 0.000 0.000 0.500
Pd 0.500 0.000 0.000
Be 0.000 0.000 0.000
Mo 0.500 0.500 0.500

Properties
calculated formation energy	1.205	eV per atom
total moment	4.71	μB per formula unit
calculated density	6.894	g/cm3

Computed, not measured: crystalline CsBeSn2Mo at its relaxed geometry at the GGA-PBE level of DFT.

a b c (Å): 5.158 5.011 5.158
angles (deg): 90.00 90.00 90.00
Positions (direct):
Cs 0.500 0.500 0.500
Sn 0.500 0.000 0.000
Sn 0.000 0.000 0.500
Be 0.000 0.000 0.000
Mo 0.000 0.500 0.000

Properties
calculated formation energy	0.897	eV per atom
total moment	3.10	μB per formula unit
calculated density	5.920	g/cm3

Computed, not measured: crystalline CsBe3N at its relaxed geometry at the GGA-PBE level of DFT.

a b c (Å): 7.382 7.382 7.382
angles (deg): 90.00 90.00 90.00
Positions (direct):
Be 0.000 0.000 0.500
Be 0.500 0.000 0.000
Be 0.000 0.500 0.000
N 0.500 0.500 0.500
Cs 0.000 0.000 0.000

Properties
total moment	2.34	μB per formula unit
ΔE_f (raw)	3.070	eV per atom
calculated density	0.718	g/cm3